No. 1
A plane-wave DFT calculation with PBE was carried out for a relaxed structure of TiGe3N.

a = 4.265 Å, b = 4.265 Å, c = 4.265 Å
α = 90.00°, β = 90.00°, γ = 90.00°
Sites, in units of the cell vectors:
Ge1 0.000 0.500 0.000
Ge2 0.000 0.000 0.500
Ge3 0.500 0.000 0.000
N1 0.000 0.000 0.000
Ti1 0.500 0.500 0.500

- symmetry = Pm-3m, No. 221
- N(E_F) (states/eV/f.u.) = 2.8
- formation energy (no corrections) (eV per atom) = 0.53
- energy above the lowest structure with this stoichiometry (meV per atom) = 0
- E (eV per atom) = -5.49
- size of the total moment (Bohr magnetons per cell) = 0.000

No. 2
A plane-wave DFT calculation with PBE was carried out for a relaxed structure of Sr2TeCl.

a = 8.257 Å, b = 8.257 Å, c = 8.257 Å
α = 150.77°, β = 148.87°, γ = 43.23°
Each line ends with the local moment (μB).
Sites, in units of the cell vectors:
Cl1 0.279 0.779 0.500  0.02
Sr1 0.955 0.955 0.000  0.10
Sr2 0.717 0.217 0.500  0.09
Te1 0.550 0.550 0.000  0.01

- symmetry = Imm2, No. 44
- N(E_F) (states/eV/f.u.) = 2.1
- formation energy (no corrections) (eV per atom) = -1.55
- energy above the lowest structure with this stoichiometry (meV per atom) = 106
- E (eV per atom) = -3.64
- size of the total moment (Bohr magnetons per cell) = 0.950

No. 3
A plane-wave DFT calculation with PBE was carried out for a relaxed structure of Mn3GeBi.

a = 5.183 Å, b = 5.183 Å, c = 5.183 Å
α = 90.00°, β = 90.00°, γ = 90.00°
Each line ends with the local moment (μB).
Sites, in units of the cell vectors:
Ge1 0.500 0.500 0.500  -0.20
Mn1 0.000 0.500 0.000  3.90
Mn2 0.000 0.000 0.500  4.01
Mn3 0.500 0.000 0.000  3.94
Bi1 0.000 0.000 0.000  -0.13

- symmetry = Pm-3m, No. 221
- N(E_F) (states/eV/f.u.) = 5.0
- energy above the lowest structure with this stoichiometry (meV per atom) = 742
- E (eV per atom) = -5.91
- size of the total moment (Bohr magnetons per cell) = 12.127

No. 4
A plane-wave DFT calculation with PBE was carried out for a relaxed structure of Tm7Cd2Ag2.

a = 6.737 Å, b = 7.375 Å, c = 6.737 Å
α = 90.00°, β = 109.28°, γ = 90.00°
Sites, in units of the cell vectors:
Tm1 0.000 0.274 0.500
Tm2 0.500 0.726 0.000
Tm3 0.000 0.726 0.500
Tm4 0.500 0.274 0.000
Tm5 0.000 0.000 0.000
Tm6 0.500 0.744 0.500
Tm7 0.500 0.256 0.500
Cd1 0.824 0.500 0.824
Cd2 0.176 0.500 0.176
Ag1 0.705 0.000 0.295
Ag2 0.295 0.000 0.705

- symmetry = Cmmm, No. 65
- N(E_F) (states/eV/f.u.) = 10.5
- E (eV per atom) = -3.49
- size of the total moment (Bohr magnetons per cell) = 0.000

No. 5
A plane-wave DFT calculation with PBE was carried out for a relaxed structure of Tm3As4Rh4.

a = 4.047 Å, b = 7.104 Å, c = 7.937 Å
α = 116.58°, β = 104.77°, γ = 90.00°
Sites, in units of the cell vectors:
Tm1 0.125 0.125 0.250
Tm2 0.875 0.875 0.750
Tm3 0.000 0.500 0.000
As1 0.217 0.717 0.434
As2 0.783 0.283 0.566
As3 0.500 0.795 0.000
As4 0.500 0.205 0.000
Rh1 0.323 0.119 0.646
Rh2 0.677 0.473 0.354
Rh3 0.677 0.881 0.354
Rh4 0.323 0.527 0.646

- symmetry = Immm, No. 71
- N(E_F) (states/eV/f.u.) = 4.3
- E (eV per atom) = -6.62
- size of the total moment (Bohr magnetons per cell) = 0.000

No. 6
A plane-wave DFT calculation with PBE was carried out for a relaxed structure of CsTcTeI2.

a = 5.949 Å, b = 5.949 Å, c = 5.128 Å
α = 90.00°, β = 90.00°, γ = 90.00°
Each line ends with the local moment (μB).
Sites, in units of the cell vectors:
Cs1 0.500 0.500 0.500  0.00
I1 0.000 0.500 0.000  0.01
I2 0.500 0.000 0.000  0.01
Te1 0.000 0.000 0.500  -0.06
Tc1 0.000 0.000 0.000  1.05

- symmetry = P4/mmm, No. 123
- N(E_F) (states/eV/f.u.) = 3.8
- formation energy (no corrections) (eV per atom) = -0.26
- energy above the lowest structure with this stoichiometry (meV per atom) = 0
- E (eV per atom) = -3.75
- size of the total moment (Bohr magnetons per cell) = 1.168